No. 1
{"formula": "ScMn2BAu", "functional": "PBE", "state": "relaxed", "cell": [[4.751, 0.000, 0.000], [0.000, 4.751, 0.000], [0.000, 0.000, 4.980]], "species": ["Sc", "Mn", "Mn", "B", "Au"], "fractional_positions": [[0.000, 0.000, 0.000], [0.000, 0.500, 0.000], [0.500, 0.000, 0.000], [0.500, 0.500, 0.500], [0.000, 0.000, 0.500]], "n_ef_per_ev_cell": 4.73, "crystal_system": "tetragonal", "sg": "No. 123", "rho_kg_m3": 5357, "m_tot_mub_per_cell": 6.60, "formation_enthalpy_0k_ev_per_fu": 9.87, "e_tot_ev_per_cell": -24.76}

No. 2
{"formula": "Ca3Mg3Zn8", "functional": "PBE", "state": "relaxed", "cell": [[-2.264, 4.641, 6.890], [2.264, -4.641, 6.890], [2.264, 4.641, -6.890]], "species": ["Ca", "Ca", "Ca", "Mg", "Mg", "Mg", "Zn", "Zn", "Zn", "Zn", "Zn", "Zn", "Zn", "Zn"], "fractional_positions": [[0.000, 0.000, 0.000], [0.295, 0.295, 0.000], [0.705, 0.705, 0.000], [0.290, 0.500, 0.790], [0.500, 0.000, 0.500], [0.710, 0.500, 0.210], [0.031, 0.671, 0.360], [0.132, 0.858, 0.274], [0.310, 0.671, 0.640], [0.416, 0.142, 0.274], [0.584, 0.858, 0.726], [0.690, 0.329, 0.360], [0.868, 0.142, 0.726], [0.969, 0.329, 0.640]], "n_ef_per_ev_cell": 5.64, "crystal_system": "orthorhombic", "sg": "No. 71", "rho_kg_m3": 4108, "m_tot_mub_per_cell": 0.00, "formation_enthalpy_0k_ev_per_fu": -3.13, "e_tot_ev_per_cell": -24.11}

No. 3
{"formula": "BaPuSn", "functional": "PBE", "state": "relaxed", "cell": [[5.617, 0.000, 0.000], [-2.809, 4.865, 0.000], [0.000, 0.000, 3.398]], "species": ["Ba", "Pu", "Sn"], "fractional_positions": [[0.000, 0.000, 0.000], [0.667, 0.333, 0.000], [0.333, 0.667, 0.500]], "n_ef_per_ev_cell": 9.67, "crystal_system": "hexagonal", "sg": "No. 187", "rho_kg_m3": 8942, "m_tot_mub_per_cell": 6.58, "formation_enthalpy_0k_ev_per_fu": -0.04, "e_tot_ev_per_cell": -20.29}

No. 4
{"formula": "ZrCrGa2", "functional": "PBE", "state": "relaxed", "cell": [[3.848, 0.000, 0.000], [0.000, 3.848, 0.000], [0.000, 0.000, 19.110]], "species": ["Zr", "Zr", "Zr", "Zr", "Cr", "Cr", "Cr", "Cr", "Ga", "Ga", "Ga", "Ga", "Ga", "Ga", "Ga", "Ga"], "fractional_positions": [[0.000, 0.000, 0.000], [0.000, 0.500, 0.250], [0.500, 0.000, 0.750], [0.500, 0.500, 0.500], [0.000, 0.000, 0.500], [0.000, 0.500, 0.750], [0.500, 0.000, 0.250], [0.500, 0.500, 0.000], [0.223, 0.250, 0.625], [0.250, 0.723, 0.875], [0.250, 0.777, 0.375], [0.277, 0.250, 0.125], [0.723, 0.750, 0.125], [0.750, 0.223, 0.375], [0.750, 0.277, 0.875], [0.777, 0.750, 0.625]], "n_ef_per_ev_cell": 10.64, "crystal_system": "tetragonal", "sg": "No. 122", "rho_kg_m3": 6634, "m_tot_mub_per_cell": 0.01, "formation_enthalpy_0k_ev_per_fu": 1.02, "e_tot_ev_per_cell": -92.83}

No. 5
{"formula": "PtAuBr2", "functional": "PBE", "state": "relaxed", "cell": [[3.354, 0.000, 0.000], [0.000, 4.661, 0.000], [0.000, 0.000, 13.783]], "species": ["Pt", "Pt", "Au", "Au", "Br", "Br", "Br", "Br"], "fractional_positions": [[0.000, 0.000, 0.000], [0.500, 0.500, 0.500], [0.000, 0.000, 0.500], [0.500, 0.500, 0.000], [0.000, 0.500, 0.355], [0.000, 0.500, 0.645], [0.500, 0.000, 0.145], [0.500, 0.000, 0.855]], "e_form_raw_mev_per_atom": 208, "n_ef_per_ev_cell": 5.22, "crystal_system": "orthorhombic", "sg": "No. 71", "rho_kg_m3": 8504, "m_tot_mub_per_cell": 0.00, "e_tot_ev_per_cell": -23.67}

No. 6
{"formula": "Al2AuF", "functional": "PBE", "state": "relaxed", "cell": [[4.714, 0.000, 0.000], [0.000, 4.714, 0.000], [0.000, 0.000, 13.006]], "species": ["Al", "Al", "Al", "Al", "Al", "Al", "Al", "Al", "Au", "Au", "Au", "Au", "F", "F", "F", "F"], "fractional_positions": [[0.163, 0.250, 0.125], [0.250, 0.663, 0.375], [0.250, 0.837, 0.875], [0.337, 0.250, 0.625], [0.663, 0.750, 0.625], [0.750, 0.163, 0.875], [0.750, 0.337, 0.375], [0.837, 0.750, 0.125], [0.000, 0.000, 0.500], [0.000, 0.500, 0.750], [0.500, 0.000, 0.250], [0.500, 0.500, 0.000], [0.000, 0.000, 0.000], [0.000, 0.500, 0.250], [0.500, 0.000, 0.750], [0.500, 0.500, 0.500]], "e_form_raw_mev_per_atom": -754, "n_ef_per_ev_cell": 5.07, "crystal_system": "tetragonal", "sg": "No. 122", "rho_kg_m3": 6204, "m_tot_mub_per_cell": 0.00, "e_tot_ev_per_cell": -62.59}